# 1
Compound: RbLi3C
Source: Alexandria via LeMat-Bulk
Functional: PBE
Structure: optimized geometry

a b c (Å): 4.435 4.435 4.435
angles (deg): 90.00 90.00 90.00
Positions (direct):
Rb1 0.000 0.000 0.000
Li1 0.000 0.500 0.500
Li2 0.500 0.000 0.500
Li3 0.500 0.500 0.000
C1 0.500 0.500 0.500

## Properties
**Space-group type**: No. 221
**ΔE_f**: 44.5 kJ per mole of atoms



# 2
Compound: RbLi3C
Source: Alexandria via LeMat-Bulk
Functional: PBE
Structure: optimized geometry

a b c (Å): 4.869 4.869 4.869
angles (deg): 90.00 90.00 90.00
Positions (direct):
Rb1 0.000 0.000 0.000
Li1 0.000 0.000 0.500
Li2 0.000 0.500 0.000
Li3 0.500 0.000 0.000
C1 0.500 0.500 0.500

## Properties
**Space-group type**: No. 221
**ΔE_f**: 199.1 kJ per mole of atoms



# 3
Compound: RbLiReC2
Source: Alexandria via LeMat-Bulk
Functional: PBE
Structure: optimized geometry

a b c (Å): 4.085 4.085 4.180
angles (deg): 90.00 90.00 90.00
Positions (direct):
Rb1 0.000 0.000 0.000
Li1 0.000 0.000 0.500
Re1 0.500 0.500 0.000
C1 0.000 0.500 0.500
C2 0.500 0.000 0.500

## Properties
**Space-group type**: No. 123
**ΔE_f**: 304.5 kJ per mole of atoms



# 4
Compound: LiReC3
Source: Alexandria via LeMat-Bulk
Functional: PBE
Structure: optimized geometry

a b c (Å): 3.522 3.522 3.522
angles (deg): 90.00 90.00 90.00
Positions (direct):
Li1 0.000 0.000 0.000
Re1 0.500 0.500 0.500
C1 0.000 0.000 0.500
C2 0.000 0.500 0.000
C3 0.500 0.000 0.000

## Properties
**Space-group type**: No. 221
**ΔE_f**: 275.8 kJ per mole of atoms



# 5
Compound: LiRe3C
Source: Alexandria via LeMat-Bulk
Functional: PBE
Structure: optimized geometry

a b c (Å): 4.093 4.093 4.093
angles (deg): 90.00 90.00 90.00
Positions (direct):
Li1 0.000 0.000 0.000
Re1 0.000 0.000 0.500
Re2 0.000 0.500 0.000
Re3 0.500 0.000 0.000
C1 0.500 0.500 0.500

## Properties
**Space-group type**: No. 221
**ΔE_f**: 267.1 kJ per mole of atoms



# 6
Compound: LiReC3
Source: Alexandria via LeMat-Bulk
Functional: PBE
Structure: optimized geometry

a b c (Å): 4.029 4.029 4.029
angles (deg): 90.00 90.00 90.00
Positions (direct):
Li1 0.000 0.000 0.000
Re1 0.500 0.500 0.500
C1 0.000 0.500 0.500
C2 0.500 0.000 0.500
C3 0.500 0.500 0.000

## Properties
**Space-group type**: No. 221
**ΔE_f**: 132.6 kJ per mole of atoms